# 1
A plane-wave DFT calculation with GGA-PBE was carried out for crystalline La2ZnCd2 at its relaxed geometry.

Output
Offset from the most stable computed form: 0.4816 eV per atom
DOS at the Fermi energy: 0.86 states/eV/atom
Energy of formation from the pure elements: 0.259 eV per atom

CIF file:
```
data_La2ZnCd2
_cell_length_a 4.741
_cell_length_b 4.741
_cell_length_c 14.255
_cell_angle_alpha 90.00
_cell_angle_beta 90.00
_cell_angle_gamma 90.00
_symmetry_space_group_name_H-M 'I 4/m m m'
_symmetry_Int_Tables_number 139
_symmetry_space_group_name_Hall '-I 4 2'
loop_
_atom_site_label
_atom_site_type_symbol
_atom_site_fract_x
_atom_site_fract_y
_atom_site_fract_z
La1 La 0.000 0.500 0.250
Zn1 Zn 0.000 0.000 0.000
Cd1 Cd 0.000 0.000 0.407
```

# 2
A plane-wave DFT calculation with GGA-PBE was carried out for crystalline La2Zn10Cd at its relaxed geometry.

Output
DOS at the Fermi energy: 0.31 states/eV/atom
Energy of formation from the pure elements: -0.202 eV per atom

CIF file:
```
data_La2Zn10Cd
_cell_length_a 6.083
_cell_length_b 6.873
_cell_length_c 12.002
_cell_angle_alpha 90.00
_cell_angle_beta 91.55
_cell_angle_gamma 90.00
_symmetry_space_group_name_H-M 'P 1 21/c 1'
_symmetry_Int_Tables_number 14
loop_
_symmetry_equiv_pos_as_xyz
'x,y,z'
'-x,-y,-z'
'-x,y+1/2,-z+1/2'
'x,-y+1/2,z+1/2'
loop_
_atom_site_label
_atom_site_type_symbol
_atom_site_fract_x
_atom_site_fract_y
_atom_site_fract_z
La1 La 0.046 0.233 0.438
Zn1 Zn 0.141 0.690 0.323
Zn2 Zn 0.231 0.106 0.699
Zn3 Zn 0.250 0.022 0.210
Zn4 Zn 0.426 0.622 0.932
Zn5 Zn 0.460 0.710 0.165
Cd1 Cd 0.500 0.000 0.000
```

# 3
A plane-wave DFT calculation with GGA-PBE was carried out for crystalline La2Zn9Cd at its relaxed geometry.

Output
DOS at the Fermi energy: 0.59 states/eV/atom
Energy of formation from the pure elements: -0.115 eV per atom

CIF file:
```
data_La2Zn9Cd
_cell_length_a 5.6627
_cell_length_b 5.6627
_cell_length_c 25.6907
_cell_angle_alpha 90.00
_cell_angle_beta 90.00
_cell_angle_gamma 120.00
_symmetry_space_group_name_H-M 'R -3 m'
_symmetry_Int_Tables_number 166
_symmetry_space_group_name_Hall '-R 3 2"'
loop_
_atom_site_label
_atom_site_type_symbol
_atom_site_fract_x
_atom_site_fract_y
_atom_site_fract_z
La1 La 0.0000 0.0000 0.1413
Zn1 Zn 0.0000 0.0000 0.3346
Zn2 Zn 0.0000 0.0000 0.5000
Zn3 Zn 0.0020 0.5010 0.9195
Cd1 Cd 0.0000 0.0000 0.0000
```

# 4
A plane-wave DFT calculation with GGA-PBE was carried out for crystalline LaZn2Cd5 at its relaxed geometry.

Output
DOS at the Fermi energy: 0.34 states/eV/atom
Energy of formation from the pure elements: -0.198 eV per atom

CIF file:
```
data_LaZn2Cd5
_cell_length_a 4.205
_cell_length_b 8.167
_cell_length_c 10.523
_cell_angle_alpha 90.00
_cell_angle_beta 90.00
_cell_angle_gamma 90.00
_symmetry_space_group_name_H-M 'I m m m'
_symmetry_Int_Tables_number 71
_symmetry_space_group_name_Hall '-I 2 2'
loop_
_atom_site_label
_atom_site_type_symbol
_atom_site_fract_x
_atom_site_fract_y
_atom_site_fract_z
La1 La 0.000 0.000 0.000
Zn1 Zn 0.000 0.500 0.265
Cd1 Cd 0.000 0.193 0.353
Cd2 Cd 0.000 0.500 0.000
```

# 5
A plane-wave DFT calculation with GGA-PBE was carried out for crystalline La8ZnCd2 at its relaxed geometry.

Output
DOS at the Fermi energy: 1.16 states/eV/atom
Energy of formation from the pure elements: -0.146 eV per atom

CIF file:
```
data_La8ZnCd2
_cell_length_a 19.081
_cell_length_b 5.454
_cell_length_c 7.173
_cell_angle_alpha 90.00
_cell_angle_beta 106.63
_cell_angle_gamma 90.00
_symmetry_space_group_name_H-M 'C 1 2/m 1'
_symmetry_Int_Tables_number 12
loop_
_symmetry_equiv_pos_as_xyz
'x,y,z'
'-x,-y,-z'
'-x,y,-z'
'x,-y,z'
'x+1/2,y+1/2,z'
'-x+1/2,-y+1/2,-z'
'-x+1/2,y+1/2,-z'
'x+1/2,-y+1/2,z'
loop_
_atom_site_label
_atom_site_type_symbol
_atom_site_fract_x
_atom_site_fract_y
_atom_site_fract_z
La1 La 0.012 0.000 0.270
La2 La 0.090 0.500 0.953
La3 La 0.161 0.500 0.471
La4 La 0.202 0.000 0.786
Zn1 Zn 0.000 0.500 0.500
Cd1 Cd 0.178 0.000 0.214
```

# 6
A plane-wave DFT calculation with GGA-PBE was carried out for crystalline LaZnCd3 at its relaxed geometry.

Output
Offset from the most stable computed form: 0.0000 eV per atom
DOS at the Fermi energy: 0.65 states/eV/atom
Energy of formation from the pure elements: -0.272 eV per atom

CIF file:
```
data_LaZnCd3
_cell_length_a 12.999
_cell_length_b 4.333
_cell_length_c 4.635
_cell_angle_alpha 90.00
_cell_angle_beta 110.75
_cell_angle_gamma 90.00
_symmetry_space_group_name_H-M 'C 1 m 1'
_symmetry_Int_Tables_number 8
loop_
_symmetry_equiv_pos_as_xyz
'x,y,z'
'x,-y,z'
'x+1/2,y+1/2,z'
'x+1/2,-y+1/2,z'
loop_
_atom_site_label
_atom_site_type_symbol
_atom_site_fract_x
_atom_site_fract_y
_atom_site_fract_z
La1 La 0.000 0.000 0.000
Zn1 Zn 0.101 0.500 0.601
Cd1 Cd 0.227 0.500 0.226
Cd2 Cd 0.241 0.000 0.741
Cd3 Cd 0.387 0.000 0.386
```

# 7
A plane-wave DFT calculation with GGA-PBE was carried out for crystalline LaZn2Cd at its relaxed geometry.

Output
DOS at the Fermi energy: 1.19 states/eV/atom
Energy of formation from the pure elements: -0.154 eV per atom

CIF file:
```
data_LaZn2Cd
_cell_length_a 4.785
_cell_length_b 4.785
_cell_length_c 4.162
_cell_angle_alpha 90.00
_cell_angle_beta 90.00
_cell_angle_gamma 90.00
_symmetry_space_group_name_H-M 'P 4/m m m'
_symmetry_Int_Tables_number 123
_symmetry_space_group_name_Hall '-P 4 2'
loop_
_atom_site_label
_atom_site_type_symbol
_atom_site_fract_x
_atom_site_fract_y
_atom_site_fract_z
La1 La 0.000 0.000 0.000
Zn1 Zn 0.000 0.500 0.500
Cd1 Cd 0.500 0.500 0.000
```

# 8
A plane-wave DFT calculation with GGA-PBE was carried out for crystalline La6ZnCd at its relaxed geometry.

Output
Offset from the most stable computed form: 0.0000 eV per atom
DOS at the Fermi energy: 1.31 states/eV/atom
Energy of formation from the pure elements: -0.151 eV per atom

CIF file:
```
data_La6ZnCd
_cell_length_a 5.389
_cell_length_b 5.389
_cell_length_c 18.031
_cell_angle_alpha 90.00
_cell_angle_beta 90.00
_cell_angle_gamma 90.00
_symmetry_space_group_name_H-M 'I 4/m m m'
_symmetry_Int_Tables_number 139
_symmetry_space_group_name_Hall '-I 4 2'
loop_
_atom_site_label
_atom_site_type_symbol
_atom_site_fract_x
_atom_site_fract_y
_atom_site_fract_z
La1 La 0.000 0.000 0.249
La2 La 0.000 0.500 0.108
Zn1 Zn 0.000 0.000 0.500
Cd1 Cd 0.000 0.000 0.000
```

# 9
A plane-wave DFT calculation with GGA-PBE was carried out for crystalline LaZn5Cd7 at its relaxed geometry.

Output
DOS at the Fermi energy: 0.20 states/eV/atom
Energy of formation from the pure elements: -0.145 eV per atom

CIF file:
```
data_LaZn5Cd7
_cell_length_a 5.671
_cell_length_b 9.575
_cell_length_c 9.656
_cell_angle_alpha 90.00
_cell_angle_beta 90.00
_cell_angle_gamma 90.00
_symmetry_space_group_name_H-M 'I m m 2'
_symmetry_Int_Tables_number 44
loop_
_symmetry_equiv_pos_as_xyz
'x,y,z'
'-x,-y,z'
'-x,y,z'
'x,-y,z'
'x+1/2,y+1/2,z+1/2'
'-x+1/2,-y+1/2,z+1/2'
'-x+1/2,y+1/2,z+1/2'
'x+1/2,-y+1/2,z+1/2'
loop_
_atom_site_label
_atom_site_type_symbol
_atom_site_fract_x
_atom_site_fract_y
_atom_site_fract_z
La1 La 0.000 0.000 0.000
Zn1 Zn 0.000 0.500 0.283
Zn2 Zn 0.249 0.258 0.255
Cd1 Cd 0.000 0.000 0.349
Cd2 Cd 0.000 0.000 0.654
Cd3 Cd 0.000 0.288 0.503
Cd4 Cd 0.000 0.348 0.006
Cd5 Cd 0.000 0.500 0.725
```

# 10
A plane-wave DFT calculation with GGA-PBE was carried out for crystalline LaZn2Cd at its relaxed geometry.

Output
DOS at the Fermi energy: 0.39 states/eV/atom
Energy of formation from the pure elements: -0.231 eV per atom

CIF file:
```
data_LaZn2Cd
_cell_length_a 7.120
_cell_length_b 7.120
_cell_length_c 7.120
_cell_angle_alpha 90.00
_cell_angle_beta 90.00
_cell_angle_gamma 90.00
_symmetry_space_group_name_H-M 'F -4 3 m'
_symmetry_Int_Tables_number 216
_symmetry_space_group_name_Hall 'F -4 2 3'
loop_
_atom_site_label
_atom_site_type_symbol
_atom_site_fract_x
_atom_site_fract_y
_atom_site_fract_z
La1 La 0.000 0.000 0.000
Zn1 Zn 0.000 0.000 0.500
Zn2 Zn 0.250 0.250 0.750
Cd1 Cd 0.250 0.250 0.250
```

# 11
A plane-wave DFT calculation with GGA-PBE was carried out for crystalline LaZn9Cd2 at its relaxed geometry.

Output
DOS at the Fermi energy: 0.33 states/eV/atom
Energy of formation from the pure elements: -0.133 eV per atom

CIF file:
```
data_LaZn9Cd2
_cell_length_a 5.4150
_cell_length_b 5.4150
_cell_length_c 25.3004
_cell_angle_alpha 90.00
_cell_angle_beta 90.00
_cell_angle_gamma 120.00
_symmetry_space_group_name_H-M 'R -3 m'
_symmetry_Int_Tables_number 166
_symmetry_space_group_name_Hall '-R 3 2"'
loop_
_atom_site_label
_atom_site_type_symbol
_atom_site_fract_x
_atom_site_fract_y
_atom_site_fract_z
La1 La 0.0000 0.0000 0.0000
Zn1 Zn 0.0000 0.0000 0.3331
Zn2 Zn 0.0000 0.0000 0.5000
Zn3 Zn 0.0045 0.5022 0.9143
Cd1 Cd 0.0000 0.0000 0.1389
```